The following is a DFT calculation (GGA-PBE) of an optimized crystal structure of Tm4Ag2HgPd.

Cell and atoms, written as extended XYZ:
```
8
Lattice="2.531 1.461 8.238 -2.531 1.461 8.238 0.000 -2.923 8.238" Properties=species:S:1:pos:R:3 pbc="T T T"
Tm 0.000 0.000 2.973
Tm 0.000 0.000 9.179
Tm 0.000 0.000 15.537
Tm 0.000 0.000 21.742
Ag 0.000 0.000 6.102
Ag 0.000 0.000 18.613
Hg 0.000 0.000 12.358
Pd 0.000 0.000 0.000
```

The calculation puts the density at 10885 kg/m3. The calculated volume is 182.8 Å³/f.u. The formation energy comes out at -0.53 eV per atom. The magnetization comes out at 0.000 μB/atom.

The following is a DFT calculation (GGA-PBE) of an optimized crystal structure of Tm4AgHg2Pd.

Cell and atoms, written as extended XYZ:
```
8
Lattice="2.552 1.473 8.272 -2.552 1.473 8.272 0.000 -2.947 8.272" Properties=species:S:1:pos:R:3 pbc="T T T"
Tm 0.000 0.000 3.000
Tm 0.000 0.000 9.227
Tm 0.000 0.000 15.588
Tm 0.000 0.000 21.815
Ag 0.000 0.000 12.408
Hg 0.000 0.000 6.103
Hg 0.000 0.000 18.712
Pd 0.000 0.000 0.000
```

The calculation puts the density at 11488 kg/m3. The calculated volume is 186.6 Å³/f.u. The formation energy comes out at -0.55 eV per atom. The magnetization comes out at 0.000 μB/atom.

The following is a DFT calculation (GGA-PBE) of an optimized crystal structure of Pm2Ag2Hg3.

Cell and atoms, written as extended XYZ:
```
7
Lattice="5.205 -2.376 0.000 5.205 2.376 0.000 -2.054 0.000 6.877" Properties=species:S:1:pos:R:3 pbc="T T T"
Pm 0.815 0.000 1.778
Pm 7.540 0.000 5.099
Ag 3.910 0.000 0.517
Ag 4.446 0.000 6.360
Hg 0.336 0.000 4.934
Hg 4.178 0.000 3.438
Hg 8.019 0.000 1.943
```

As for the energy above the lowest structure with this stoichiometry: 0.0000 eV per atom. The calculation puts the density at 10811 kg/m3. The calculated volume is 170.1 Å³/f.u. The formation energy comes out at -0.33 eV per atom. The magnetization comes out at 0.000 μB/atom.

The following is a DFT calculation (GGA-PBE) of an optimized crystal structure of Pm3Ag4Hg2.

Cell and atoms, written as extended XYZ:
```
9
Lattice="5.476 -2.447 0.000 5.476 2.447 0.000 -4.528 0.000 8.016" Properties=species:S:1:pos:R:3 pbc="T T T"
Pm 0.000 0.000 0.000
Pm 2.156 0.000 2.662
Pm 4.268 0.000 5.354
Ag -1.192 0.000 3.109
Ag -1.284 0.000 7.553
Ag 7.708 0.000 0.462
Ag 7.616 0.000 4.907
Hg 0.974 0.000 5.784
Hg 5.450 0.000 2.232
```

The calculation puts the density at 9797 kg/m3. The calculated volume is 214.9 Å³/f.u. The formation energy comes out at -0.33 eV per atom. The magnetization comes out at 0.000 μB/atom.